No. 1
Below is an optimized crystal structure of CuBi, with properties calculated at the PBE level.

SG   F-43m

Structure (POSCAR):
```
CuBi
1.0
-1.456 0.242 4.000
-3.476 2.312 0.868
-3.643 -1.944 1.064
Bi Cu
1 1
direct
0.000 0.000 0.000
0.250 0.250 0.250
```

=====

No. 2
Below is an optimized crystal structure of CuBi, with properties calculated at the PBE level.

SG   P6_3/mmc

Structure (POSCAR):
```
CuBi
1.0
-1.807 3.608 1.750
-1.974 -3.901 0.478
2.653 -0.804 4.396
Bi Cu
2 2
direct
0.667 0.333 0.250
0.333 0.667 0.750
0.000 0.000 0.000
0.000 0.000 0.500
```

=====

No. 3
Below is an optimized crystal structure of Cu7Bi, with properties calculated at the PBE level.

SG   P4/nmm

Structure (POSCAR):
```
Cu7Bi
1.0
-0.047 0.022 -3.003
2.735 -1.240 -0.052
-13.116 -28.938 -0.003
Bi Cu
2 14
direct
0.000 0.500 0.165
0.500 0.000 0.835
0.500 0.000 0.229
0.000 0.500 0.271
0.500 0.000 0.312
0.000 0.500 0.354
0.500 0.000 0.395
0.000 0.500 0.437
0.500 0.000 0.479
0.000 0.500 0.521
0.500 0.000 0.563
0.000 0.500 0.605
0.500 0.000 0.646
0.000 0.500 0.688
0.500 0.000 0.729
0.000 0.500 0.771
```

=====

No. 4
Below is an optimized crystal structure of Cu15Bi, with properties calculated at the PBE level.

SG   Pmma
Polymorph energy (0 for the lowest one)   0 meV/atom

Structure (POSCAR):
```
Cu15Bi
1.0
3.605 0.000 0.000
0.000 3.607 0.000
0.000 0.000 42.114
Bi Cu
2 30
direct
0.750 0.000 0.343
0.250 0.000 0.657
0.750 0.500 0.021
0.250 0.000 0.021
0.750 0.000 0.064
0.250 0.500 0.064
0.750 0.500 0.107
0.250 0.000 0.107
0.750 0.000 0.149
0.250 0.500 0.149
0.750 0.500 0.192
0.250 0.000 0.192
0.750 0.000 0.234
0.250 0.500 0.235
0.750 0.500 0.277
0.250 0.000 0.277
0.250 0.500 0.317
0.750 0.500 0.683
0.750 0.000 0.723
0.250 0.500 0.723
0.750 0.500 0.765
0.250 0.000 0.766
0.750 0.000 0.808
0.250 0.500 0.808
0.750 0.500 0.851
0.250 0.000 0.851
0.750 0.000 0.893
0.250 0.500 0.893
0.750 0.500 0.936
0.250 0.000 0.936
0.750 0.000 0.979
0.250 0.500 0.979
```

=====

No. 5
Below is an optimized crystal structure of CuBi, with properties calculated at the PBE level.

SG   P-6m2

Structure (POSCAR):
```
CuBi
1.0
3.529 0.000 0.000
-1.765 3.056 0.000
0.000 0.000 4.089
Bi Cu
1 1
direct
0.667 0.333 0.750
0.333 0.667 0.250
```

=====

No. 6
Below is an optimized crystal structure of Cu15Bi, with properties calculated at the PBE level.

SG   P2/c
Polymorph energy (0 for the lowest one)   9 meV/atom

Structure (POSCAR):
```
Cu15Bi
1.0
-1.343 2.682 -3.229
-27.894 7.823 18.101
2.480 2.303 2.826
Bi Cu
2 30
direct
0.000 0.796 0.250
0.000 0.204 0.750
0.500 0.222 0.250
0.000 0.257 0.250
0.500 0.296 0.250
0.000 0.333 0.250
0.500 0.370 0.250
0.000 0.407 0.250
0.500 0.444 0.250
0.000 0.481 0.250
0.500 0.518 0.250
0.000 0.556 0.250
0.500 0.593 0.250
0.000 0.630 0.250
0.500 0.667 0.250
0.000 0.705 0.250
0.500 0.743 0.250
0.500 0.257 0.750
0.000 0.295 0.750
0.500 0.333 0.750
0.000 0.370 0.750
0.500 0.407 0.750
0.000 0.444 0.750
0.500 0.482 0.750
0.000 0.519 0.750
0.500 0.556 0.750
0.000 0.593 0.750
0.500 0.630 0.750
0.000 0.667 0.750
0.500 0.704 0.750
0.000 0.743 0.750
0.500 0.778 0.750
```

=====

No. 7
Below is an optimized crystal structure of CuBi, with properties calculated at the PBE level.

SG   Pmma

Structure (POSCAR):
```
CuBi
1.0
5.192 0.000 0.000
0.000 4.240 0.000
0.000 0.000 7.956
Bi Cu
4 4
direct
0.250 0.500 0.259
0.750 0.000 0.320
0.250 0.000 0.680
0.750 0.500 0.741
0.000 0.000 0.000
0.500 0.000 0.000
0.750 0.500 0.082
0.250 0.500 0.918
```

=====

No. 8
Below is an optimized crystal structure of Cu9Bi2, with properties calculated at the PBE level.

SG   P-3m1

Structure (POSCAR):
```
Cu9Bi2
1.0
-2.038 -0.048 2.114
2.711 -0.986 0.552
6.989 23.290 7.270
Bi Cu
2 9
direct
0.667 0.333 0.115
0.333 0.667 0.885
0.333 0.667 0.210
0.000 0.000 0.283
0.667 0.333 0.355
0.333 0.667 0.428
0.000 0.000 0.500
0.667 0.333 0.572
0.333 0.667 0.645
0.000 0.000 0.717
0.667 0.333 0.790
```

=====

No. 9
Below is an optimized crystal structure of Cu124Bi, with properties calculated at the PBE level.

SG   Fm-3m

Structure (POSCAR):
```
Cu124Bi
1.0
7.921 2.537 9.706
9.293 -8.252 2.990
12.205 3.001 -2.329
Bi Cu
1 124
direct
0.000 0.000 0.000
0.210 0.000 0.000
0.403 0.000 0.000
0.597 0.000 0.000
0.790 0.000 0.000
0.400 0.200 0.000
0.000 0.210 0.000
0.790 0.210 0.000
0.400 0.400 0.000
0.200 0.400 0.000
0.000 0.403 0.000
0.597 0.403 0.000
0.403 0.597 0.000
0.000 0.597 0.000
0.800 0.600 0.000
0.600 0.600 0.000
0.210 0.790 0.000
0.000 0.790 0.000
0.600 0.800 0.000
0.201 0.201 0.000
0.598 0.201 0.000
0.201 0.598 0.000
0.600 0.600 0.200
0.600 0.400 0.200
0.400 0.600 0.200
0.600 0.800 0.200
0.800 0.600 0.200
0.800 0.400 0.200
0.400 0.800 0.200
0.399 0.200 0.200
0.200 0.399 0.200
0.200 0.200 0.200
0.400 0.000 0.200
0.000 0.400 0.200
0.400 0.400 0.200
0.799 0.799 0.201
0.799 0.201 0.201
0.201 0.799 0.201
0.598 0.201 0.201
0.201 0.598 0.201
0.201 0.000 0.201
0.598 0.000 0.201
0.000 0.201 0.201
0.000 0.598 0.201
0.000 0.000 0.210
0.000 0.790 0.210
0.790 0.000 0.210
0.200 0.200 0.399
0.000 0.400 0.400
0.200 0.400 0.400
0.400 0.000 0.400
0.400 0.200 0.400
0.200 0.000 0.400
0.000 0.200 0.400
0.400 0.400 0.400
0.800 0.400 0.400
0.400 0.800 0.400
0.600 0.600 0.400
0.600 0.400 0.400
0.400 0.600 0.400
0.800 0.200 0.400
0.200 0.800 0.400
0.800 0.600 0.400
0.600 0.800 0.400
0.600 0.200 0.400
0.200 0.600 0.400
0.799 0.799 0.402
0.000 0.799 0.402
0.799 0.000 0.402
0.000 0.000 0.403
0.597 0.000 0.403
0.000 0.597 0.403
0.403 0.000 0.597
0.000 0.403 0.597
0.000 0.000 0.597
0.201 0.000 0.598
0.201 0.201 0.598
0.000 0.201 0.598
0.800 0.400 0.600
0.400 0.800 0.600
0.400 0.200 0.600
0.200 0.400 0.600
0.800 0.200 0.600
0.200 0.800 0.600
0.600 0.400 0.600
0.400 0.600 0.600
0.400 0.400 0.600
0.600 0.200 0.600
0.200 0.600 0.600
0.600 0.600 0.600
0.800 0.000 0.600
0.000 0.800 0.600
0.600 0.000 0.600
0.000 0.600 0.600
0.600 0.800 0.600
0.800 0.600 0.600
0.800 0.800 0.601
0.210 0.000 0.790
0.000 0.210 0.790
0.000 0.000 0.790
0.000 0.402 0.799
0.402 0.000 0.799
0.799 0.402 0.799
0.000 0.799 0.799
0.402 0.799 0.799
0.799 0.000 0.799
0.799 0.201 0.799
0.201 0.799 0.799
0.201 0.201 0.799
0.600 0.600 0.800
0.000 0.600 0.800
0.600 0.000 0.800
0.800 0.601 0.800
0.601 0.800 0.800
0.800 0.800 0.800
0.600 0.200 0.800
0.200 0.600 0.800
0.400 0.200 0.800
0.200 0.400 0.800
0.600 0.400 0.800
0.400 0.600 0.800
0.400 0.400 0.800
0.799 0.402 0.000
0.402 0.799 0.000
0.799 0.799 0.000
```

=====

No. 10
Below is an optimized crystal structure of Cu15Bi, with properties calculated at the PBE level.

SG   P2_1/m
Polymorph energy (0 for the lowest one)   65 meV/atom

Structure (POSCAR):
```
Cu15Bi
1.0
-1.323 -4.609 -1.736
2.254 -1.022 0.996
-19.068 -7.754 35.185
Bi Cu
2 30
direct
0.625 0.750 0.160
0.375 0.250 0.840
0.125 0.750 0.183
0.868 0.250 0.223
0.382 0.250 0.223
0.125 0.750 0.266
0.625 0.750 0.266
0.875 0.250 0.309
0.375 0.250 0.309
0.125 0.750 0.350
0.625 0.750 0.351
0.375 0.250 0.393
0.875 0.250 0.393
0.625 0.750 0.436
0.125 0.750 0.436
0.375 0.250 0.479
0.875 0.250 0.479
0.125 0.750 0.521
0.625 0.750 0.521
0.875 0.250 0.564
0.375 0.250 0.564
0.125 0.750 0.607
0.625 0.750 0.607
0.375 0.250 0.649
0.875 0.250 0.650
0.625 0.750 0.691
0.125 0.750 0.691
0.375 0.250 0.734
0.875 0.250 0.734
0.618 0.750 0.777
0.132 0.750 0.777
0.875 0.250 0.817
```

=====

No. 11
Below is an optimized crystal structure of Cu7Bi, with properties calculated at the PBE level.

SG   Pmmn

Structure (POSCAR):
```
Cu7Bi
1.0
-1.736 -0.213 -2.235
-2.599 -0.321 2.049
-3.600 29.222 0.016
Bi Cu
2 14
direct
0.000 0.000 0.150
0.500 0.500 0.850
0.500 0.500 0.216
0.000 0.000 0.260
0.500 0.500 0.304
0.000 0.000 0.347
0.500 0.500 0.391
0.000 0.000 0.435
0.500 0.500 0.478
0.000 0.000 0.522
0.500 0.500 0.565
0.000 0.000 0.609
0.500 0.500 0.653
0.000 0.000 0.696
0.500 0.500 0.740
0.000 0.000 0.784
```

=====

No. 12
Below is an optimized crystal structure of Cu15Bi, with properties calculated at the PBE level.

SG   P2_1/m
Polymorph energy (0 for the lowest one)   86 meV/atom

Structure (POSCAR):
```
Cu15Bi
1.0
6.986 0.000 0.000
0.000 2.655 0.000
-0.004 0.000 34.112
Bi Cu
2 30
direct
0.125 0.250 0.297
0.875 0.750 0.703
0.875 0.750 0.019
0.375 0.750 0.019
0.125 0.250 0.056
0.625 0.250 0.056
0.375 0.750 0.093
0.875 0.750 0.093
0.625 0.250 0.130
0.125 0.250 0.130
0.373 0.750 0.168
0.877 0.750 0.168
0.625 0.250 0.205
0.125 0.250 0.206
0.871 0.750 0.244
0.379 0.750 0.244
0.625 0.250 0.279
0.375 0.750 0.721
0.621 0.250 0.756
0.129 0.250 0.756
0.875 0.750 0.794
0.375 0.750 0.795
0.123 0.250 0.832
0.627 0.250 0.832
0.875 0.750 0.870
0.375 0.750 0.870
0.125 0.250 0.907
0.625 0.250 0.907
0.375 0.750 0.944
0.875 0.750 0.944
0.625 0.250 0.981
0.125 0.250 0.981
```

=====

Total DFT energy (no corrections) (computed, eV/f.u.): -6.843 -7.578 -29.180 -59.081 -7.088 -58.941 -7.663 -37.095 -463.274 -58.037 -29.166 -57.711